First-principles (PBE) data for a geometry-optimized CaNi2Br structure, as listed in the Alexandria database.

## Properties
formation energy (no corrections): -0.1080 eV per atom
energy relative to the lowest polymorph listed for this composition: 154 meV per atom
DOS(E_F): 0.83 states/eV/atom
calculated volume: 19.430 Å³/atom

Cell lengths 4.0789, 3.8273, 4.9785 Å; angles 90.02, 90.00, 90.00 degrees
Closest atoms and distances in Å follow each position.
Fractional coordinates of all 4 atoms:
Ni 0.0000 0.2502 0.9877  2 Ni 2.37-2.61, 2 Br 2.42
Br 0.5000 0.2500 0.2500  4 Ni 2.42
Ni 0.0000 0.2498 0.5123  2 Ni 2.37-2.61, 2 Br 2.42
Ca 0.5000 0.7500 0.7500  8 Ni 3.04, 4 Br 3.14